Entry from Alexandria via LeMat-Bulk: crystalline TlSiTc at its relaxed geometry (PBE-GGA).

Properties
* energy relative to the elements, uncorrected: 0.310 eV/atom
* crystal system: hexagonal

a = 4.136 Å, b = 4.136 Å, c = 3.704 Å
α = 90.00°, β = 90.00°, γ = 120.00°
Positions (direct):
Si  0.000  0.000  0.167
Tl  0.333  0.667  0.667
Tc  0.667  0.333  0.166

=====

Entry from Alexandria via LeMat-Bulk: crystalline TlSiTc at its relaxed geometry (PBE-GGA).

Properties
* energy relative to the elements, uncorrected: 0.146 eV/atom
* crystal system: monoclinic

a = 6.023 Å, b = 3.331 Å, c = 12.426 Å
α = 90.00°, β = 107.54°, γ = 90.00°
Positions (direct):
Si  0.017  0.500  0.613
Si  0.017  0.000  0.113
Si  0.486  0.000  0.173
Si  0.486  0.500  0.673
Tl  0.504  0.500  0.892
Tl  0.504  0.000  0.392
Tl  0.986  0.500  0.350
Tl  0.986  0.000  0.850
Tc  0.743  0.000  0.620
Tc  0.224  0.000  0.547
Tc  0.224  0.500  0.047
Tc  0.743  0.500  0.120

=====

Entry from Alexandria via LeMat-Bulk: crystalline Tl2SiTc at its relaxed geometry (PBE-GGA).

Properties
* energy relative to the elements, uncorrected: 0.447 eV/atom
* crystal system: orthorhombic

a = 6.817 Å, b = 6.817 Å, c = 4.730 Å
α = 69.68°, β = 69.68°, γ = 26.37°
Positions (direct):
Tl  0.951  0.951  0.049
Tl  0.747  0.747  0.753
Tc  0.224  0.224  0.276
Si  0.578  0.578  0.422

=====

Entry from Alexandria via LeMat-Bulk: crystalline TlSiTc4 at its relaxed geometry (PBE-GGA).

Properties
* energy relative to the elements, uncorrected: 0.660 eV/atom
* crystal system: cubic

a = 5.216 Å, b = 5.216 Å, c = 5.216 Å
α = 60.00°, β = 60.00°, γ = 60.00°
Positions (direct):
Tl  0.250  0.250  0.250
Tc  0.626  0.123  0.626
Tc  0.123  0.626  0.626
Tc  0.626  0.626  0.626
Tc  0.626  0.626  0.123
Si  0.000  0.000  0.000

=====

Entry from Alexandria via LeMat-Bulk: crystalline TlSiTc at its relaxed geometry (PBE-GGA).

Properties
* energy relative to the elements, uncorrected: 0.312 eV/atom
* crystal system: trigonal

a = 3.125 Å, b = 3.125 Å, c = 6.539 Å
α = 90.00°, β = 90.00°, γ = 120.00°
Last column: magnetic moment on the atom in μB.
Positions (direct):
Tl  0.333  0.667  0.659  0.00
Tc  0.667  0.333  0.293  0.19
Si  0.000  0.000  0.048  0.00

=====

Entry from Alexandria via LeMat-Bulk: crystalline TlSiTc at its relaxed geometry (PBE-GGA).

Properties
* energy relative to the elements, uncorrected: -0.054 eV/atom
* crystal system: monoclinic

a = 3.094 Å, b = 3.906 Å, c = 9.864 Å
α = 90.00°, β = 90.09°, γ = 90.00°
Positions (direct):
Si  0.000  0.750  0.410
Si  0.000  0.250  0.590
Tc  0.500  0.250  0.386
Tc  0.500  0.750  0.614
Tl  0.997  0.250  0.127
Tl  0.003  0.750  0.873